Below is a relaxed structure of Fe2BAu2, with properties calculated at the PBE level.

Geometry as extended XYZ:
```
5
Lattice="-0.215 -2.781 2.386 -0.234 -2.375 -2.789 6.001 -3.115 -0.267" Properties=species:S:1:pos:R:3 pbc="T T T"
B 0.000 0.000 0.000
Au 2.781 -4.237 0.958
Au 2.771 -4.034 -1.629
Fe 0.851 -2.671 -0.213
Fe 4.701 -5.600 -0.458
```

Results
Total DFT energy (no corrections) (eV per atom): -4.884
Polymorph energy (0 for the lowest one) (eV/atom): 0.8630
Density of states at the Fermi level (states/eV/f.u.): 5.13
Energy of formation (eV per formula unit): 5.74